A relaxed Ba7Fe6CuF34 crystal. Source: Alexandria via LeMat-Bulk, functional PBE+U.

Unit cell a=17.197 b=11.586 c=7.804 alpha=90.00 beta=101.77 gamma=90.00
Space group C2/m (No. 12)
Symmetry-distinct sites (fractional):
Ba 0.000 0.000 0.000 x2
Ba 0.141 0.301 0.300 x8
Ba 0.236 0.500 0.872 x4
Fe 0.109 0.243 0.800 x8
Fe 0.172 0.000 0.541 x4
Cu 0.000 0.500 0.500 x2
F 0.000 0.208 0.201 x8
F 0.060 0.500 0.324 x4
F 0.085 0.361 0.612 x8
F 0.107 0.122 0.614 x8
F 0.110 0.000 0.306 x4
F 0.120 0.367 0.970 x8
F 0.134 0.130 0.994 x8
F 0.221 0.262 0.803 x8
F 0.237 0.118 0.455 x8
F 0.247 0.500 0.240 x4

Summary:
Total DFT energy (no corrections)   -0.402 Ry per atom